No. 1
PrNbSi | PBE | relaxed

- Excess energy over the best structure of this formula in the dataset: 0.0 meV per atom

Cell lengths 4.6760, 4.6760, 4.6760 Å; angles 60.00, 60.00, 60.00 degrees
Fractional coordinates of all 3 atoms:
Nb  0.2500  0.2500  0.2500
Si  0.0000  0.0000  0.0000
Pr  0.7500  0.7500  0.7500

No. 2
PrNbSi | PBE | relaxed

- Excess energy over the best structure of this formula in the dataset: 1017.6 meV per atom

Cell lengths 4.9171, 4.9171, 4.9171 Å; angles 60.00, 60.00, 60.00 degrees
Site moments in Bohr magnetons follow the coordinates.
Fractional coordinates of all 3 atoms:
Si  0.7500  0.7500  0.7500  -0.07
Nb  0.2500  0.2500  0.2500  2.54
Pr  0.0000  0.0000  0.0000  0.41

No. 3
TbPrNb | PBE | relaxed

- Excess energy over the best structure of this formula in the dataset: 0.0 meV per atom
- Energy of formation from the pure elements: 0.8101 eV/atom

Cell lengths 5.1317, 5.1317, 5.1317 Å; angles 60.00, 60.00, 60.00 degrees
Site moments in Bohr magnetons follow the coordinates.
Fractional coordinates of all 3 atoms:
Tb  0.7500  0.7500  0.7500  0.19
Pr  0.2500  0.2500  0.2500  0.09
Nb  0.0000  0.0000  0.0000  1.39

No. 4
PrNbTc | PBE | relaxed

- Energy of formation from the pure elements: 0.7465 eV/atom

Cell lengths 4.6069, 4.6069, 4.6069 Å; angles 60.00, 60.00, 60.00 degrees
Fractional coordinates of all 3 atoms:
Nb  0.0000  0.0000  0.0000
Tc  0.7500  0.7500  0.7500
Pr  0.2500  0.2500  0.2500

No. 5
PrThNb | PBE | relaxed

- Energy of formation from the pure elements: 0.6173 eV/atom

Cell lengths 5.0590, 5.0590, 5.0590 Å; angles 60.00, 60.00, 60.00 degrees
Fractional coordinates of all 3 atoms:
Nb  0.0000  0.0000  0.0000
Pr  0.7500  0.7500  0.7500
Th  0.2500  0.2500  0.2500

No. 6
PrUNb | PBE | relaxed

- Excess energy over the best structure of this formula in the dataset: 0.0 meV per atom
- Energy of formation from the pure elements: 1.0450 eV/atom

Cell lengths 4.8824, 4.8824, 4.8824 Å; angles 60.00, 60.00, 60.00 degrees
Site moments in Bohr magnetons follow the coordinates.
Fractional coordinates of all 3 atoms:
Nb  0.0000  0.0000  0.0000  -0.27
U  0.7500  0.7500  0.7500  1.88
Pr  0.2500  0.2500  0.2500  0.04

No. 7
PrNbZn | PBE | relaxed

- Excess energy over the best structure of this formula in the dataset: 0.0 meV per atom
- Energy of formation from the pure elements: 0.5676 eV/atom

Cell lengths 4.7083, 4.7083, 4.7083 Å; angles 60.00, 60.00, 60.00 degrees
Fractional coordinates of all 3 atoms:
Nb  0.2500  0.2500  0.2500
Pr  0.7500  0.7500  0.7500
Zn  0.0000  0.0000  0.0000

No. 8
PrNbZn | PBE | relaxed

- Excess energy over the best structure of this formula in the dataset: 616.4 meV per atom
- Energy of formation from the pure elements: 1.1839 eV/atom

Cell lengths 4.8859, 4.8859, 4.8859 Å; angles 60.00, 60.00, 60.00 degrees
Site moments in Bohr magnetons follow the coordinates.
Fractional coordinates of all 3 atoms:
Pr  0.2500  0.2500  0.2500  0.27
Zn  0.0000  0.0000  0.0000  -0.04
Nb  0.5000  0.5000  0.5000  1.94

No. 9
NbPt | PBE | relaxed

- Energy of formation from the pure elements: 0.5200 eV/atom

Cell lengths 4.1224, 4.1224, 4.1224 Å; angles 60.00, 60.00, 60.00 degrees
Site moments in Bohr magnetons follow the coordinates.
Fractional coordinates of all 2 atoms:
Nb  0.0000  0.0000  0.0000  0.62
Pt  0.2500  0.2500  0.2500  0.04

No. 10
NbPt | PBE | relaxed

- Energy of formation from the pure elements: 0.0008 eV/atom

Cell lengths 3.7732, 3.7732, 3.7732 Å; angles 60.00, 60.00, 60.00 degrees
Fractional coordinates of all 2 atoms:
Nb  0.0000  0.0000  0.0000
Pt  0.5000  0.5000  0.5000

No. 11
NbPt | PBE | relaxed

- Energy of formation from the pure elements: -0.6209 eV/atom

Cell lengths 4.6383, 2.8040, 5.0378 Å; angles 90.00, 90.00, 90.00 degrees
Fractional coordinates of all 4 atoms:
Nb  0.2500  0.0000  0.8210
Pt  0.2500  0.5000  0.3265
Pt  0.7500  0.5000  0.6735
Nb  0.7500  0.0000  0.1790

No. 12
NbPt3 | PBE | relaxed

- Energy of formation from the pure elements: -0.6554 eV/atom

Cell lengths 4.5995, 5.5917, 4.9148 Å; angles 90.00, 90.00, 90.00 degrees
Fractional coordinates of all 8 atoms:
Pt  0.0000  0.2502  0.8349
Pt  0.5000  0.0000  0.6598
Pt  0.0000  0.7498  0.8349
Pt  0.5000  0.7502  0.1651
Pt  0.5000  0.2498  0.1651
Nb  0.0000  0.0000  0.3406
Pt  0.0000  0.5000  0.3402
Nb  0.5000  0.5000  0.6594

Number 1: calculated total energy -6.686 eV/atom. Number 2: calculated total energy -5.668 eV/atom. Number 3: calculated total energy -5.689 eV/atom. Number 4: calculated total energy -7.663 eV/atom. Number 5: calculated total energy -6.810 eV/atom. Number 6: calculated total energy -7.677 eV/atom. Number 7: calculated total energy -4.810 eV/atom. Number 8: calculated total energy -4.194 eV/atom. Number 9: calculated total energy -7.555 eV/atom. Number 10: calculated total energy -8.074 eV/atom. Number 11: calculated total energy -8.696 eV/atom. Number 12: calculated total energy -7.721 eV/atom.